Entry 1:
Here is an optimized crystal structure of YZrAs from Alexandria. Energies are from PBEsol.

abc: 3.579 3.579 5.711
angles: 108.26 108.26 90.00
Fractional positions:
Y (0.339, 0.339, 0.679)
As (0.022, 0.022, 0.043)
Zr (0.639, 0.639, 0.278)

Calculated density   6.5 g/cm3
SG   No. 107

=====

Entry 2:
Here is an optimized crystal structure of YZr3As from Alexandria. Energies are from PBEsol.

abc: 5.047 5.047 5.047
angles: 90.00 90.00 90.00
Fractional positions:
Y (0.500, 0.500, 0.500)
As (0.000, 0.000, 0.000)
Zr (0.000, 0.500, 0.000)
Zr (0.000, 0.000, 0.500)
Zr (0.500, 0.000, 0.000)

Calculated density   5.7 g/cm3
SG   No. 221

=====

Entry 3:
Here is an optimized crystal structure of Y2ZrAs from Alexandria. Energies are from PBEsol.

abc: 5.007 5.007 5.007
angles: 60.00 60.00 60.00
Fractional positions:
Y (0.000, 0.000, 0.000)
Y (0.750, 0.750, 0.750)
As (0.500, 0.500, 0.500)
Zr (0.250, 0.250, 0.250)

Calculated density   6.4 g/cm3
SG   No. 216

=====

Entry 4:
Here is an optimized crystal structure of Y2ZrAs from Alexandria. Energies are from PBEsol.

abc: 3.313 5.380 5.380
angles: 107.53 90.00 90.00
Fractional positions:
Y (0.000, 0.000, 0.500)
Y (0.000, 0.500, 0.000)
As (0.500, 0.000, 0.000)
Zr (0.500, 0.500, 0.500)

Calculated density   6.2 g/cm3
SG   No. 65

=====

Number 1: E_tot -23.2 eV per cell. Number 2: E_tot -39.9 eV per cell. Number 3: E_tot -28.3 eV per cell. Number 4: E_tot -29.2 eV per cell.